{"formula": "InCu2Ir", "functional": "meta-GGA SCAN", "state": "PBEsol geometry", "lattice_angstrom": [[-1.731, -3.344, 0.705], [1.112, -1.298, -3.428], [3.238, -1.347, 1.561]], "species": ["Ir", "Cu", "Cu", "In"], "fractional_positions": [[0.000, 0.000, 0.500], [0.000, 0.500, 0.000], [0.500, 0.000, 0.000], [0.500, 0.500, 0.500]], "dft_energy_ev_per_atom": -33.734, "density_g_cm3": 12.8, "volume_a3_per_atom": 14.08, "ef_ev_per_fu": -0.052, "m_tot_mub_per_fu": 0.00}

=====

{"formula": "InCu2Ir", "functional": "meta-GGA SCAN", "state": "PBEsol geometry", "lattice_angstrom": [[-3.184, 1.011, -1.984], [-0.722, -3.743, -0.748], [-0.082, 1.130, 4.512]], "species": ["Ir", "Cu", "Cu", "In"], "fractional_positions": [[0.250, 0.750, 0.500], [0.000, 0.000, 0.000], [0.750, 0.250, 0.500], [0.500, 0.500, 0.000]], "dft_energy_ev_per_atom": -33.702, "density_g_cm3": 12.7, "volume_a3_per_atom": 14.17, "ef_ev_per_fu": 0.076, "m_tot_mub_per_fu": 0.00}

=====

{"formula": "YIn2CuIr", "functional": "meta-GGA SCAN", "state": "PBEsol geometry", "lattice_angstrom": [[-0.802, 4.738, -0.624], [-0.609, -0.846, -5.643], [-5.626, -0.856, 0.736]], "species": ["Y", "Ir", "Cu", "In", "In"], "fractional_positions": [[0.000, 0.000, 0.000], [0.500, 0.000, 0.000], [0.500, 0.500, 0.500], [0.000, 0.000, 0.500], [0.000, 0.500, 0.000]], "dft_energy_ev_per_atom": -34.807, "density_g_cm3": 6.0, "volume_a3_per_atom": 31.92, "ef_ev_per_fu": 6.878, "m_tot_mub_per_fu": 0.00}

=====

{"formula": "K2InCu", "functional": "meta-GGA SCAN", "state": "PBEsol geometry", "lattice_angstrom": [[4.281, 0.000, 0.000], [0.000, 4.267, 0.032], [0.000, -0.051, 6.847]], "species": ["Cu", "In", "K", "K"], "fractional_positions": [[0.500, 0.500, 0.000], [0.500, 0.500, 0.500], [0.000, 0.000, 0.232], [0.000, 0.000, 0.768]], "dft_energy_ev_per_atom": -16.016, "density_g_cm3": 3.4, "volume_a3_per_atom": 31.27, "ef_ev_per_fu": 1.180, "m_tot_mub_per_fu": 0.00}